[1]
## GdSi2Pt2 (GGA-PBE)

Data for a geometry-optimized GdSi2Pt2 structure.

Its uncorrected formation energy is -1.02 eV per atom.

The structure belongs to space group I4/mmm (No. 139); the cell edges are 4.255, 4.255 and 9.974 Å and the angles 90.00°, 90.00° and 90.00°. The inequivalent atoms are Gd at (0.000, 0.000, 0.000), Si at (0.000, 0.500, 0.250) and Pt at (0.000, 0.000, 0.365).

---

[2]
## GdSi2Pt2 (GGA-PBE)

Data for a geometry-optimized GdSi2Pt2 structure.

Its uncorrected formation energy is -1.04 eV per atom.

The structure belongs to space group I4/mmm (No. 139); the cell edges are 4.208, 4.208 and 9.896 Å and the angles 90.00°, 90.00° and 90.00°. The inequivalent atoms are Gd at (0.000, 0.000, 0.000), Si at (0.000, 0.000, 0.381) and Pt at (0.000, 0.500, 0.250).

---

[3]
## GdSiPt (GGA-PBE)

Data for a geometry-optimized GdSiPt structure.

Its uncorrected formation energy is -1.13 eV per atom.

The structure belongs to space group P-6m2 (No. 187); the cell edges are 4.2546, 4.2546 and 3.8622 Å and the angles 90.00°, 90.00° and 120.00°. The inequivalent atoms are Gd at (0.0000, 0.0000, 0.0000), Si at (0.3333, 0.6667, 0.5000) and Pt at (0.6667, 0.3333, 0.5000).

---

[4]
## Gd2SiPt (GGA-PBE)

Data for a geometry-optimized Gd2SiPt structure.

Its uncorrected formation energy is -0.84 eV per atom.

The structure belongs to space group P4/mmm (No. 123); the cell edges are 3.486, 3.486 and 7.288 Å and the angles 90.00°, 90.00° and 90.00°. The inequivalent atoms are Gd at (0.000, 0.000, 0.247), Si at (0.500, 0.500, 0.500) and Pt at (0.500, 0.500, 0.000).

---

[5]
## TbGdSiPt (GGA-PBE)

Data for a geometry-optimized TbGdSiPt structure.

Its uncorrected formation energy is -0.83 eV per atom.

The structure belongs to space group F-43m (No. 216); the cell edges are 7.089, 7.089 and 7.089 Å and the angles 90.00°, 90.00° and 90.00°. The inequivalent atoms are Tb at (0.000, 0.000, 0.000), Gd at (0.000, 0.000, 0.500), Si at (0.250, 0.250, 0.250) and Pt at (0.250, 0.250, 0.750).

---

[6]
## GdYSiPt (GGA-PBE)

Data for a geometry-optimized GdYSiPt structure.

Its uncorrected formation energy is -0.84 eV per atom.

The structure belongs to space group F-43m (No. 216); the cell edges are 7.082, 7.082 and 7.082 Å and the angles 90.00°, 90.00° and 90.00°. The inequivalent atoms are Gd at (0.000, 0.000, 0.000), Y at (0.000, 0.000, 0.500), Si at (0.250, 0.250, 0.750) and Pt at (0.250, 0.250, 0.250).

---

[7]
## SmGdSnPt (GGA-PBE)

Data for a geometry-optimized SmGdSnPt structure.

For the energy of formation from the pure elements, the calculation gives -0.82 eV/atom.

The structure belongs to space group F-43m (No. 216); the cell edges are 7.383, 7.383 and 7.383 Å and the angles 90.00°, 90.00° and 90.00°. The inequivalent atoms are Sm at (0.000, 0.000, 0.000), Gd at (0.000, 0.000, 0.500), Sn at (0.250, 0.250, 0.750) and Pt at (0.250, 0.250, 0.250).

---

[8]
## SmGdZnPt (GGA-PBE)

Data for a geometry-optimized SmGdZnPt structure.

For the energy of formation from the pure elements, the calculation gives -0.73 eV/atom.

The structure belongs to space group F-43m (No. 216); the cell edges are 7.162, 7.162 and 7.162 Å and the angles 90.00°, 90.00° and 90.00°. The inequivalent atoms are Sm at (0.000, 0.000, 0.000), Gd at (0.000, 0.000, 0.500), Zn at (0.250, 0.250, 0.250) and Pt at (0.250, 0.250, 0.750).

---

[9]
## GdSnPt (GGA-PBE)

Data for a geometry-optimized GdSnPt structure.

For the energy of formation from the pure elements, the calculation gives -1.09 eV/atom.

The structure belongs to space group P-62m (No. 189); the cell edges are 7.5509, 7.5509 and 4.0708 Å and the angles 90.00°, 90.00° and 120.00°. The inequivalent atoms are Gd at (0.0000, 0.4076, 0.0000), Sn at (0.0000, 0.7428, 0.5000), Pt at (0.0000, 0.0000, 0.0000) and Pt at (0.3333, 0.6667, 0.5000).

---

[10]
## GdSnPt2 (GGA-PBE)

Data for a geometry-optimized GdSnPt2 structure.

For the energy of formation from the pure elements, the calculation gives -0.99 eV/atom.

The structure belongs to space group P6_3/mmc (No. 194); the cell edges are 4.5834, 4.5834 and 9.1685 Å and the angles 90.00°, 90.00° and 120.00°. The inequivalent atoms are Gd at (0.3333, 0.6667, 0.2500), Sn at (0.0000, 0.0000, 0.0000) and Pt at (0.3333, 0.6667, 0.5891).

---

[11]
## GdSnPt (GGA-PBE)

Data for a geometry-optimized GdSnPt structure.

For the energy of formation from the pure elements, the calculation gives -1.00 eV/atom.

The structure belongs to space group P-6m2 (No. 187); the cell edges are 4.6788, 4.6788 and 3.6044 Å and the angles 90.00°, 90.00° and 120.00°. The inequivalent atoms are Gd at (0.0000, 0.0000, 0.0000), Sn at (0.6667, 0.3333, 0.5000) and Pt at (0.3333, 0.6667, 0.5000).

---

[12]
## GdSn2Pt2 (GGA-PBE)

Data for a geometry-optimized GdSn2Pt2 structure.

For the energy of formation from the pure elements, the calculation gives -0.69 eV/atom.

The structure belongs to space group C2/m (No. 12); the cell edges are 7.682, 5.821 and 6.404 Å and the angles 90.00°, 126.48° and 90.00°. The inequivalent atoms are Gd at (0.000, 0.000, 0.000), Sn at (0.139, 0.500, 0.275) and Pt at (0.000, 0.250, 0.500).

---

[13]
## GdSnPt2 (GGA-PBE)

Data for a geometry-optimized GdSnPt2 structure.

For the energy of formation from the pure elements, the calculation gives -0.90 eV/atom.

The structure belongs to space group R-3m (No. 166, hexagonal axes); the cell edges are 4.6466, 4.6466 and 13.3822 Å and the angles 90.00°, 90.00° and 120.00°. The inequivalent atoms are Gd at (0.0000, 0.0000, 0.0000), Sn at (0.0000, 0.0000, 0.5000) and Pt at (0.0000, 0.0000, 0.2217).

---

[14]
## GdSnPt (GGA-PBE)

Data for a geometry-optimized GdSnPt structure.

For the energy of formation from the pure elements, the calculation gives -0.14 eV/atom.

The structure belongs to space group I4mm (No. 107); the cell edges are 3.531, 3.531 and 13.901 Å and the angles 90.00°, 90.00° and 90.00°. The inequivalent atoms are Gd at (0.000, 0.000, 0.000), Sn at (0.000, 0.000, 0.230) and Pt at (0.000, 0.000, 0.808).

---

[15]
## GdSn2Pt (GGA-PBE)

Data for a geometry-optimized GdSn2Pt structure.

For the energy of formation from the pure elements, the calculation gives -0.62 eV/atom.

The structure belongs to space group P4/mmm (No. 123); the cell edges are 4.484, 4.484 and 4.480 Å and the angles 90.00°, 90.00° and 90.00°. The inequivalent atoms are Gd at (0.000, 0.000, 0.000), Sn at (0.000, 0.500, 0.500) and Pt at (0.500, 0.500, 0.000).

---

[16]
## GdSnPt2 (GGA-PBE)

Data for a geometry-optimized GdSnPt2 structure.

For the energy of formation from the pure elements, the calculation gives -0.82 eV/atom.

The structure belongs to space group P4/mmm (No. 123); the cell edges are 4.665, 4.665 and 3.728 Å and the angles 90.00°, 90.00° and 90.00°. The inequivalent atoms are Gd at (0.000, 0.000, 0.000), Sn at (0.500, 0.500, 0.000) and Pt at (0.000, 0.500, 0.500).

---

[17]
## GdSn2Pt (GGA-PBE)

Data for a geometry-optimized GdSn2Pt structure.

For the energy of formation from the pure elements, the calculation gives -0.15 eV/atom.

The structure belongs to space group R-3m (No. 166, hexagonal axes); the cell edges are 3.5304, 3.5304 and 30.0868 Å and the angles 90.00°, 90.00° and 120.00°. The inequivalent atoms are Gd at (0.0000, 0.0000, 0.0000), Sn at (0.0000, 0.0000, 0.1051) and Pt at (0.0000, 0.0000, 0.5000).

---

[18]
## TbGdSnPt (GGA-PBE)

Data for a geometry-optimized TbGdSnPt structure.

For the energy of formation from the pure elements, the calculation gives -0.85 eV/atom.

The structure belongs to space group F-43m (No. 216); the cell edges are 7.323, 7.323 and 7.323 Å and the angles 90.00°, 90.00° and 90.00°. The inequivalent atoms are Tb at (0.000, 0.000, 0.000), Gd at (0.000, 0.000, 0.500), Sn at (0.250, 0.250, 0.750) and Pt at (0.250, 0.250, 0.250).

---

[19]
## SrGdPt2 (GGA-PBE)

Data for a geometry-optimized SrGdPt2 structure.

For the energy of formation from the pure elements, the calculation gives -0.89 eV/atom.

The structure belongs to space group R-3m (No. 166, hexagonal axes); the cell edges are 4.2079, 4.2079 and 20.9522 Å and the angles 90.00°, 90.00° and 120.00°. The inequivalent atoms are Sr at (0.0000, 0.0000, 0.0000), Gd at (0.0000, 0.0000, 0.5000) and Pt at (0.0000, 0.0000, 0.2400).

---

[20]
## SrGdPt (GGA-PBE)

Data for a geometry-optimized SrGdPt structure.

For the energy of formation from the pure elements, the calculation gives -0.64 eV/atom.

The structure belongs to space group F-43m (No. 216); the cell edges are 7.146, 7.146 and 7.146 Å and the angles 90.00°, 90.00° and 90.00°. The inequivalent atoms are Sr at (0.000, 0.000, 0.000), Gd at (0.000, 0.000, 0.500) and Pt at (0.250, 0.250, 0.750).